Entry 1:
Density functional theory data (GGA-PBEsol) for TaMoBr after structural relaxation.

a b c (Å): 2.9621 2.9621 6.7735
angles (deg): 90.00 90.00 120.00
With the nearest neighbours (Å) after each atom.
Space group P3m1 (No. 156)
Asymmetric unit:
Ta 0.0000 0.0000 0.0000 (multiplicity 1)  3 Br 2.75, 3 Mo 2.92, 6 Ta 2.96
Mo 0.6667 0.3333 0.3485 (multiplicity 1)  3 Br 2.83, 3 Ta 2.92, 6 Mo 2.96
Br 0.3333 0.6667 0.6821 (multiplicity 1)  3 Ta 2.75, 3 Mo 2.83, 6 Br 2.96

## Properties
The value obtained for the formation energy (no corrections) is 489 meV/atom. The value obtained for the relative energy among the computed polymorphs is 0.00 eV per formula unit. The density of states at the Fermi level comes out at 3.126 states/eV/cell. The value obtained for the spin magnetization is 0.00 μB per cell.



Entry 2:
Density functional theory data (GGA-PBEsol) for Ta2MoBr after structural relaxation.

a b c (Å): 6.4966 6.4966 6.4966
angles (deg): 90.00 90.00 90.00
With the nearest neighbours (Å) after each atom.
Space group F-43m (No. 216)
Asymmetric unit:
Ta 0.0000 0.0000 0.0000 (multiplicity 4)  4 Ta 2.81, 4 Mo 2.81
Ta 0.2500 0.2500 0.2500 (multiplicity 4)  4 Ta 2.81, 4 Br 2.81
Mo 0.2500 0.2500 0.7500 (multiplicity 4)  4 Ta 2.81, 4 Br 2.81
Br 0.0000 0.0000 0.5000 (multiplicity 4)  4 Ta 2.81, 4 Mo 2.81

## Properties
The value obtained for the formation energy (no corrections) is 857 meV/atom. The value obtained for the relative energy among the computed polymorphs is 1.94 eV per formula unit. The density of states at the Fermi level comes out at 18.829 states/eV/cell. The value obtained for the spin magnetization is 0.00 μB per cell.



Entry 3:
Density functional theory data (GGA-PBEsol) for Ta2MoBr after structural relaxation.

a b c (Å): 3.1695 4.4454 9.6694
angles (deg): 90.00 90.00 90.00
With the nearest neighbours (Å) after each atom.
Space group Imm2 (No. 44)
Asymmetric unit:
Ta 0.0000 0.0000 0.0000 (multiplicity 2)  4 Mo 2.73, 2 Ta 2.98
Ta 0.0000 0.5000 0.2387 (multiplicity 2)  4 Br 2.76, 2 Mo 2.79, 2 Ta 2.98
Mo 0.0000 0.0000 0.5017 (multiplicity 2)  2 Br 2.66, 6 Ta 2.73-2.79
Br 0.0000 0.5000 0.7813 (multiplicity 2)  2 Mo 2.66, 4 Ta 2.76

## Properties
The value obtained for the formation energy (no corrections) is 516 meV/atom. The value obtained for the relative energy among the computed polymorphs is 0.58 eV per formula unit. The density of states at the Fermi level comes out at 5.669 states/eV/cell. The value obtained for the spin magnetization is 0.00 μB per cell.



Entry 4:
Density functional theory data (GGA-PBEsol) for TaMoBr4 after structural relaxation.

a b c (Å): 8.1833 8.1833 8.1833
angles (deg): 90.00 90.00 90.00
With the nearest neighbours (Å) after each atom.
Space group F-43m (No. 216)
Asymmetric unit:
Ta 0.0000 0.0000 0.0000 (multiplicity 4)  12 Br 3.39, 4 Mo 3.54
Mo 0.2500 0.2500 0.7500 (multiplicity 4)  12 Br 3.39, 4 Ta 3.54
Br 0.1251 0.1251 0.3749 (multiplicity 16)  6 Br 2.89-2.90

## Properties
The value obtained for the formation energy (no corrections) is 1748 meV/atom. The density of states at the Fermi level comes out at 33.731 states/eV/cell. The value obtained for the spin magnetization is 6.28 μB per cell.